BeSiPt2 | Alexandria via LeMat-Bulk | PBE | optimized geometry; space group = P2/m; total DFT energy (no corrections) = -5.81 eV/atom; ΔE_f (raw) = -2.0 eV/f.u.
1.0
-2.523 -0.516 -1.140
1.249 -1.331 -2.161
1.791 -8.244 -0.233
Pt Be Si
2 1 1
direct
0.000 0.619 0.544 Pt
0.000 0.881 0.956 Pt
0.500 0.750 0.750 Be
0.500 0.250 0.250 Si

NaAc2Ga9 | Alexandria via LeMat-Bulk | PBE | optimized geometry; space group = R-3m; energy relative to the elements = -3.2 eV/f.u.; total DFT energy (no corrections) = -3.33 eV/atom
1.0
-3.947 3.128 3.234
-0.924 -1.383 5.750
4.725 6.152 5.355
Ga Ac Na
9 2 1
direct
0.936 0.410 0.243 Ga
0.410 0.936 0.243 Ga
0.500 0.500 0.500 Ga
0.410 0.410 0.243 Ga
0.590 0.064 0.757 Ga
0.339 0.339 0.984 Ga
0.661 0.661 0.016 Ga
0.590 0.590 0.757 Ga
0.064 0.590 0.757 Ga
0.138 0.138 0.585 Ac
0.862 0.862 0.415 Ac
0.000 0.000 0.000 Na